1:
{
  "formula": "Mg6BW",
  "functional": "PBE-GGA",
  "state": "relaxed",
  "lattice_angstrom": [[2.761, -5.410, 0.000], [2.761, 5.410, 0.000], [0.000, 0.000, 4.740]],
  "species": ["Mg", "W", "Mg", "Mg", "B", "Mg", "Mg", "Mg"],
  "fractional_positions": [[0.675, 0.325, 0.000], [0.819, 0.181, 0.500], [0.820, 0.679, 0.500], [0.676, 0.836, 0.000], [0.332, 0.668, 0.500], [0.321, 0.180, 0.500], [0.193, 0.807, 0.000], [0.164, 0.324, 0.000]]
}

---

2:
{
  "formula": "Mg6BW",
  "functional": "PBE-GGA",
  "state": "relaxed",
  "lattice_angstrom": [[2.960, -5.700, 0.000], [2.960, 5.700, 0.000], [0.000, 0.000, 4.498]],
  "species": ["Mg", "Mg", "Mg", "Mg", "W", "Mg", "Mg", "B"],
  "fractional_positions": [[0.672, 0.328, 0.000], [0.823, 0.177, 0.500], [0.668, 0.817, 0.000], [0.327, 0.145, 0.500], [0.210, 0.790, 0.000], [0.855, 0.673, 0.500], [0.183, 0.332, 0.000], [0.261, 0.739, 0.500]]
}

---

Name the most stable of them. 2.

---

1:
{
  "formula": "YMg3B",
  "functional": "PBE-GGA",
  "state": "relaxed",
  "lattice_angstrom": [[4.713, 0.000, 0.000], [0.000, 4.713, 0.000], [0.000, 0.000, 4.713]],
  "species": ["B", "Mg", "Mg", "Y", "Mg"],
  "fractional_positions": [[0.000, 0.000, 0.000], [0.000, 0.000, 0.500], [0.500, 0.000, 0.000], [0.500, 0.500, 0.500], [0.000, 0.500, 0.000]]
}

---

2:
{
  "formula": "YMg3B",
  "functional": "PBE-GGA",
  "state": "relaxed",
  "lattice_angstrom": [[6.014, 0.000, 0.000], [0.000, 6.014, 0.000], [0.000, 0.000, 6.014]],
  "species": ["Mg", "B", "Mg", "Mg", "Y"],
  "fractional_positions": [[0.000, 0.500, 0.000], [0.500, 0.500, 0.500], [0.500, 0.000, 0.000], [0.000, 0.000, 0.500], [0.000, 0.000, 0.000]]
}

---

Name the most stable of them. 1.

---

1:
{
  "formula": "Mg6ZnB",
  "functional": "PBE-GGA",
  "state": "relaxed",
  "lattice_angstrom": [[-5.813, -2.334, -1.904], [3.011, -5.667, 1.299], [-1.190, 0.156, 3.442]],
  "species": ["Mg", "Mg", "Mg", "Zn", "Mg", "B", "Mg", "Mg"],
  "fractional_positions": [[0.366, 0.158, 0.000], [0.373, 0.627, 0.000], [0.132, 0.868, 0.500], [0.591, 0.409, 0.500], [0.691, 0.969, 0.500], [0.974, 0.026, 0.000], [0.842, 0.634, 0.000], [0.031, 0.309, 0.500]]
}

---

2:
{
  "formula": "Mg6ZnB",
  "functional": "PBE-GGA",
  "state": "relaxed",
  "lattice_angstrom": [[1.134, 5.856, -1.088], [-4.131, -0.394, -4.422], [-2.998, 1.083, 2.704]],
  "species": ["Mg", "Zn", "Mg", "B", "Mg", "Mg", "Mg", "Mg"],
  "fractional_positions": [[0.905, 0.095, 0.000], [0.108, 0.892, 0.500], [0.605, 0.884, 0.500], [0.730, 0.270, 0.500], [0.794, 0.559, 0.000], [0.300, 0.700, 0.000], [0.441, 0.206, 0.000], [0.116, 0.395, 0.500]]
}

---

Name the most stable of them. 1.

---

1:
{
  "formula": "MgZn3B",
  "functional": "PBE-GGA",
  "state": "relaxed",
  "lattice_angstrom": [[4.283, 0.000, 0.000], [0.000, 4.283, 0.000], [0.000, 0.000, 4.283]],
  "species": ["B", "Mg", "Zn", "Zn", "Zn"],
  "fractional_positions": [[0.000, 0.000, 0.000], [0.500, 0.500, 0.500], [0.000, 0.000, 0.500], [0.000, 0.500, 0.000], [0.500, 0.000, 0.000]]
}

---

2:
{
  "formula": "MgZn3B",
  "functional": "PBE-GGA",
  "state": "relaxed",
  "lattice_angstrom": [[-4.629, 0.847, -1.674], [1.463, -1.160, -4.632], [-1.174, -4.784, 0.827]],
  "species": ["Zn", "Zn", "Mg", "B", "Zn"],
  "fractional_positions": [[0.000, 0.500, 0.000], [0.000, 0.000, 0.500], [0.000, 0.000, 0.000], [0.500, 0.500, 0.500], [0.500, 0.000, 0.000]]
}

---

Name the most stable of them. 1.

---

1:
{
  "formula": "Mg14ZrB",
  "functional": "PBE-GGA",
  "state": "relaxed",
  "lattice_angstrom": [[-3.727, 4.802, 1.751], [0.136, -5.312, 3.431], [7.306, 3.692, 5.427]],
  "species": ["Mg", "Mg", "Mg", "B", "Mg", "Mg", "Mg", "Mg", "Mg", "Mg", "Mg", "Mg", "Mg", "Zr", "Mg", "Mg"],
  "fractional_positions": [[0.157, 0.313, 0.266], [0.157, 0.843, 0.266], [0.013, 0.507, 0.000], [0.000, 0.000, 0.500], [0.687, 0.843, 0.734], [0.493, 0.987, 0.000], [0.505, 0.010, 0.500], [0.157, 0.843, 0.734], [0.493, 0.507, 0.000], [0.505, 0.495, 0.500], [0.667, 0.333, 0.761], [0.687, 0.843, 0.266], [0.667, 0.333, 0.239], [0.000, 0.000, 0.000], [0.157, 0.313, 0.734], [0.990, 0.495, 0.500]]
}

---

2:
{
  "formula": "Mg14ZrB",
  "functional": "PBE-GGA",
  "state": "relaxed",
  "lattice_angstrom": [[2.965, -5.702, 0.000], [2.965, 5.702, 0.000], [0.000, 0.000, 10.179]],
  "species": ["Mg", "Mg", "Mg", "Mg", "Mg", "Mg", "Mg", "Mg", "Mg", "Mg", "Mg", "Mg", "Zr", "B", "Mg", "Mg"],
  "fractional_positions": [[0.207, 0.793, 0.334], [0.829, 0.677, 0.000], [0.829, 0.171, 0.000], [0.780, 0.687, 0.500], [0.669, 0.331, 0.753], [0.207, 0.793, 0.666], [0.318, 0.682, 0.000], [0.323, 0.171, 0.000], [0.313, 0.220, 0.500], [0.669, 0.331, 0.247], [0.674, 0.833, 0.747], [0.167, 0.326, 0.253], [0.808, 0.192, 0.500], [0.367, 0.633, 0.500], [0.674, 0.833, 0.253], [0.167, 0.326, 0.747]]
}

---

Name the most stable of them. 2.

---

1:
{
  "formula": "MgZrB",
  "functional": "PBE-GGA",
  "state": "relaxed",
  "lattice_angstrom": [[3.210, 0.000, -0.001], [1.605, 2.780, 0.000], [0.002, -0.001, 11.333]],
  "species": ["B", "Zr", "B", "Mg", "Zr", "Mg"],
  "fractional_positions": [[0.963, 0.311, 0.291], [0.296, 0.644, 0.441], [0.629, 0.978, 0.291], [0.628, 0.980, 0.676], [0.296, 0.644, 0.141], [0.960, 0.314, 0.906]]
}

---

2:
{
  "formula": "MgZrB",
  "functional": "PBE-GGA",
  "state": "relaxed",
  "lattice_angstrom": [[-2.524, 0.850, -2.326], [-0.484, -4.877, 1.431], [-1.882, 5.340, 3.993]],
  "species": ["B", "Zr", "Mg", "B", "Zr", "Mg"],
  "fractional_positions": [[0.393, 0.787, 0.877], [0.915, 0.830, 0.142], [0.314, 0.628, 0.405], [0.607, 0.213, 0.123], [0.085, 0.170, 0.858], [0.686, 0.372, 0.595]]
}

---

Name the most stable of them. 1.

---

1:
{
  "formula": "MnBSN2",
  "functional": "PBE-GGA",
  "state": "relaxed",
  "lattice_angstrom": [[3.481, 0.000, 0.000], [0.000, 3.481, 0.000], [0.000, 0.000, 5.058]],
  "species": ["Mn", "S", "N", "B", "N"],
  "fractional_positions": [[0.000, 0.000, 0.000], [0.000, 0.000, 0.500], [0.000, 0.500, 0.000], [0.500, 0.500, 0.500], [0.500, 0.000, 0.000]]
}

---

2:
{
  "formula": "MnBSN2",
  "functional": "PBE-GGA",
  "state": "relaxed",
  "lattice_angstrom": [[-2.962, -1.076, 0.449], [1.118, -2.271, 1.931], [-0.681, 4.007, 5.108]],
  "species": ["N", "B", "N", "S", "Mn"],
  "fractional_positions": [[0.000, 0.500, 0.000], [0.000, 0.000, 0.000], [0.500, 0.000, 0.000], [0.000, 0.000, 0.500], [0.500, 0.500, 0.500]]
}

---

Name the most stable of them. 2.

---

1:
{
  "formula": "MnBSe2N",
  "functional": "PBE-GGA",
  "state": "relaxed",
  "lattice_angstrom": [[4.832, 0.000, 0.000], [0.000, 4.832, 0.000], [0.000, 0.000, 3.402]],
  "species": ["N", "Se", "B", "Mn", "Se"],
  "fractional_positions": [[0.000, 0.000, 0.500], [0.000, 0.500, 0.000], [0.500, 0.500, 0.500], [0.000, 0.000, 0.000], [0.500, 0.000, 0.000]]
}

---

2:
{
  "formula": "MnBSe2N",
  "functional": "PBE-GGA",
  "state": "relaxed",
  "lattice_angstrom": [[-5.133, 1.363, -0.997], [-1.100, -0.279, 5.283], [0.642, 2.619, 0.272]],
  "species": ["Se", "Mn", "Se", "N", "B"],
  "fractional_positions": [[0.000, 0.500, 0.000], [0.500, 0.500, 0.500], [0.500, 0.000, 0.000], [0.000, 0.000, 0.500], [0.000, 0.000, 0.000]]
}

---

Name the most stable of them. 2.